The following is a GGA+U calculation of crystalline Ba3In2MoO9 at its relaxed geometry, from the Alexandria database.

The structure in CIF format:
```
data_Ba3In2MoO9
_cell_length_a 5.971
_cell_length_b 5.971
_cell_length_c 7.305
_cell_angle_alpha 90.00
_cell_angle_beta 90.00
_cell_angle_gamma 120.00
_symmetry_space_group_name_H-M 'P 1'
_symmetry_Int_Tables_number 1
_symmetry_space_group_name_Hall 'P 1'
loop_
_atom_site_label
_atom_site_fract_x
_atom_site_fract_y
_atom_site_fract_z
_atom_site_occupancy
Ba1 0.000 0.000 0.500 1
Ba2 0.667 0.333 0.814 1
Ba3 0.333 0.667 0.186 1
In1 0.667 0.333 0.333 1
In2 0.333 0.667 0.667 1
Mo1 0.000 0.000 0.000 1
O1 0.689 0.844 0.847 1
O2 0.311 0.156 0.153 1
O3 0.000 0.500 0.500 1
O4 0.500 0.000 0.500 1
O5 0.156 0.311 0.847 1
O6 0.844 0.689 0.153 1
O7 0.500 0.500 0.500 1
O8 0.156 0.844 0.847 1
O9 0.844 0.156 0.153 1
```

Output
For the calculated total energy, the calculation gives -6.337 eV per atom. Its space group is P-3m1 (164). The calculation puts the volume at 226 Å³/cell.